4
Lattice="-1.9019 1.9019 4.5725 1.9019 -1.9019 4.5725 1.9019 1.9019 -4.5725" Properties=species:S:1:pos:R:3 comment="PBE Sc2CoRe, optimized geometry" crystal_system=tetragonal spacegroup="No. 119" formation_energy_ev_per_atom=0.102 vol_a3_per_atom=16.540 pbc="T T T"
Sc 0.0000 0.0000 0.0000
Sc 0.0000 1.9019 2.2863
Co 1.9019 0.0000 2.2863
Re 0.0000 0.0000 4.5725